Entry 1:
Here is a geometry-optimized CaZnCoHg2 structure from the Alexandria database. Energies are from PBE.

```
data_CaZnCoHg2
_symmetry_space_group_name_H-M 'P 1'
_symmetry_Int_Tables_number 1
_cell_length_a 5.011
_cell_length_b 5.011
_cell_length_c 4.612
_cell_angle_alpha 90.00
_cell_angle_beta 90.00
_cell_angle_gamma 90.00
loop_
_symmetry_equiv_pos_as_xyz
'x,y,z'
loop_
_atom_site_label
_atom_site_type_symbol
_atom_site_fract_x
_atom_site_fract_y
_atom_site_fract_z
_atom_site_occupancy
Ca1 Ca 0.000 0.000 0.000 1
Zn1 Zn 0.500 0.500 0.000 1
Co1 Co 0.500 0.500 0.500 1
Hg1 Hg 0.000 0.500 0.500 1
Hg2 Hg 0.500 0.000 0.500 1
```

- D(E_F) (states/eV per cell) = 3.006
- DFT total energy (eV/atom) = -2.213

Entry 2:
Here is a geometry-optimized Ca2ZrCoHg structure from the Alexandria database. Energies are from PBE.

```
data_Ca2ZrCoHg
_symmetry_space_group_name_H-M 'P 1'
_symmetry_Int_Tables_number 1
_cell_length_a 5.595
_cell_length_b 5.595
_cell_length_c 5.428
_cell_angle_alpha 90.00
_cell_angle_beta 90.00
_cell_angle_gamma 90.00
loop_
_symmetry_equiv_pos_as_xyz
'x,y,z'
loop_
_atom_site_label
_atom_site_type_symbol
_atom_site_fract_x
_atom_site_fract_y
_atom_site_fract_z
_atom_site_occupancy
Ca1 Ca 0.000 0.500 0.000 1
Ca2 Ca 0.500 0.000 0.000 1
Zr1 Zr 0.000 0.000 0.500 1
Co1 Co 0.500 0.500 0.500 1
Hg1 Hg 0.000 0.000 0.000 1
```

- D(E_F) (states/eV per cell) = 10.543
- DFT total energy (eV/atom) = -3.059

Entry 3:
Here is a geometry-optimized CaHoCo4 structure from the Alexandria database. Energies are from PBE.

```
data_CaHoCo4
_symmetry_space_group_name_H-M 'P 1'
_symmetry_Int_Tables_number 1
_cell_length_a 5.081
_cell_length_b 5.081
_cell_length_c 5.081
_cell_angle_alpha 60.00
_cell_angle_beta 60.00
_cell_angle_gamma 60.00
loop_
_symmetry_equiv_pos_as_xyz
'x,y,z'
loop_
_atom_site_label
_atom_site_type_symbol
_atom_site_fract_x
_atom_site_fract_y
_atom_site_fract_z
_atom_site_occupancy
Ca1 Ca 0.000 0.000 0.000 1
Ho1 Ho 0.250 0.250 0.250 1
Co1 Co 0.127 0.624 0.624 1
Co2 Co 0.624 0.127 0.624 1
Co3 Co 0.624 0.624 0.127 1
Co4 Co 0.624 0.624 0.624 1
```

- D(E_F) (states/eV per cell) = 8.449
- DFT total energy (eV/atom) = -5.891

Entry 4:
Here is a geometry-optimized CaHo2Co structure from the Alexandria database. Energies are from PBE.

```
data_CaHo2Co
_symmetry_space_group_name_H-M 'P 1'
_symmetry_Int_Tables_number 1
_cell_length_a 13.432
_cell_length_b 3.678
_cell_length_c 8.958
_cell_angle_alpha 90.00
_cell_angle_beta 91.24
_cell_angle_gamma 90.00
loop_
_symmetry_equiv_pos_as_xyz
'x,y,z'
loop_
_atom_site_label
_atom_site_type_symbol
_atom_site_fract_x
_atom_site_fract_y
_atom_site_fract_z
_atom_site_occupancy
Ca1 Ca 0.130 0.000 0.469 1
Ca2 Ca 0.370 0.500 0.531 1
Ca3 Ca 0.630 0.500 0.469 1
Ca4 Ca 0.870 0.000 0.531 1
Ho1 Ho 0.034 0.500 0.826 1
Ho2 Ho 0.231 0.500 0.151 1
Ho3 Ho 0.269 0.000 0.849 1
Ho4 Ho 0.466 0.000 0.174 1
Ho5 Ho 0.534 0.000 0.826 1
Ho6 Ho 0.731 0.000 0.151 1
Ho7 Ho 0.769 0.500 0.849 1
Ho8 Ho 0.966 0.500 0.174 1
Co1 Co 0.100 0.000 0.035 1
Co2 Co 0.400 0.500 0.965 1
Co3 Co 0.600 0.500 0.035 1
Co4 Co 0.900 0.000 0.965 1
```

- energy relative to the lowest polymorph listed for this composition (meV per atom) = 0
- D(E_F) (states/eV per cell) = 16.794
- DFT total energy (eV/atom) = -4.684

Entry 5:
Here is a geometry-optimized CaHo2Co structure from the Alexandria database. Energies are from PBE.

```
data_CaHo2Co
_symmetry_space_group_name_H-M 'P 1'
_symmetry_Int_Tables_number 1
_cell_length_a 3.394
_cell_length_b 3.394
_cell_length_c 9.405
_cell_angle_alpha 90.00
_cell_angle_beta 90.00
_cell_angle_gamma 90.00
loop_
_symmetry_equiv_pos_as_xyz
'x,y,z'
loop_
_atom_site_label
_atom_site_type_symbol
_atom_site_fract_x
_atom_site_fract_y
_atom_site_fract_z
_atom_site_occupancy
Ca1 Ca 0.000 0.000 0.000 1
Ho1 Ho 0.500 0.500 0.331 1
Ho2 Ho 0.500 0.500 0.669 1
Co1 Co 0.000 0.000 0.500 1
```

- energy relative to the lowest polymorph listed for this composition (meV per atom) = 57
- D(E_F) (states/eV per cell) = 3.518
- DFT total energy (eV/atom) = -4.627

Entry 6:
Here is a geometry-optimized CaHo2Co structure from the Alexandria database. Energies are from PBE.

```
data_CaHo2Co
_symmetry_space_group_name_H-M 'P 1'
_symmetry_Int_Tables_number 1
_cell_length_a 3.881
_cell_length_b 3.881
_cell_length_c 27.404
_cell_angle_alpha 90.00
_cell_angle_beta 90.00
_cell_angle_gamma 120.00
loop_
_symmetry_equiv_pos_as_xyz
'x,y,z'
loop_
_atom_site_label
_atom_site_type_symbol
_atom_site_fract_x
_atom_site_fract_y
_atom_site_fract_z
_atom_site_occupancy
Ca1 Ca 0.000 0.000 0.000 1
Ca2 Ca 0.333 0.667 0.667 1
Ca3 Ca 0.667 0.333 0.333 1
Ho1 Ho 0.000 0.000 0.550 1
Ho2 Ho 0.000 0.000 0.780 1
Ho3 Ho 0.333 0.667 0.216 1
Ho4 Ho 0.333 0.667 0.447 1
Ho5 Ho 0.667 0.333 0.114 1
Ho6 Ho 0.667 0.333 0.883 1
Co1 Co 0.000 0.000 0.165 1
Co2 Co 0.333 0.667 0.832 1
Co3 Co 0.667 0.333 0.498 1
```

- energy relative to the lowest polymorph listed for this composition (meV per atom) = 64
- D(E_F) (states/eV per cell) = 12.739
- DFT total energy (eV/atom) = -4.620

Entry 7:
Here is a geometry-optimized CaHo12Co6 structure from the Alexandria database. Energies are from PBE.

```
data_CaHo12Co6
_symmetry_space_group_name_H-M 'P 1'
_symmetry_Int_Tables_number 1
_cell_length_a 8.461
_cell_length_b 8.461
_cell_length_c 8.461
_cell_angle_alpha 109.47
_cell_angle_beta 109.47
_cell_angle_gamma 109.47
loop_
_symmetry_equiv_pos_as_xyz
'x,y,z'
loop_
_atom_site_label
_atom_site_type_symbol
_atom_site_fract_x
_atom_site_fract_y
_atom_site_fract_z
_atom_site_occupancy
Ca1 Ca 0.000 0.000 0.000 1
Ho1 Ho 0.116 0.312 0.804 1
Ho2 Ho 0.196 0.508 0.312 1
Ho3 Ho 0.196 0.884 0.688 1
Ho4 Ho 0.312 0.196 0.508 1
Ho5 Ho 0.312 0.804 0.116 1
Ho6 Ho 0.492 0.688 0.804 1
Ho7 Ho 0.508 0.312 0.196 1
Ho8 Ho 0.688 0.196 0.884 1
Ho9 Ho 0.688 0.804 0.492 1
Ho10 Ho 0.804 0.116 0.312 1
Ho11 Ho 0.804 0.492 0.688 1
Ho12 Ho 0.884 0.688 0.196 1
Co1 Co 0.113 0.500 0.613 1
Co2 Co 0.387 0.887 0.500 1
Co3 Co 0.500 0.387 0.887 1
Co4 Co 0.500 0.613 0.113 1
Co5 Co 0.613 0.113 0.500 1
Co6 Co 0.887 0.500 0.387 1
```

- D(E_F) (states/eV per cell) = 15.316
- DFT total energy (eV/atom) = -5.388

Entry 8:
Here is a geometry-optimized CaHo3Co structure from the Alexandria database. Energies are from PBE.

```
data_CaHo3Co
_symmetry_space_group_name_H-M 'P 1'
_symmetry_Int_Tables_number 1
_cell_length_a 5.298
_cell_length_b 5.298
_cell_length_c 5.298
_cell_angle_alpha 90.00
_cell_angle_beta 90.00
_cell_angle_gamma 90.00
loop_
_symmetry_equiv_pos_as_xyz
'x,y,z'
loop_
_atom_site_label
_atom_site_type_symbol
_atom_site_fract_x
_atom_site_fract_y
_atom_site_fract_z
_atom_site_occupancy
Ca1 Ca 0.000 0.000 0.000 1
Ho1 Ho 0.000 0.500 0.500 1
Ho2 Ho 0.500 0.000 0.500 1
Ho3 Ho 0.500 0.500 0.000 1
Co1 Co 0.500 0.500 0.500 1
```

- D(E_F) (states/eV per cell) = 5.594
- DFT total energy (eV/atom) = -4.627

Entry 9:
Here is a geometry-optimized CaHoCo structure from the Alexandria database. Energies are from PBE.

```
data_CaHoCo
_symmetry_space_group_name_H-M 'P 1'
_symmetry_Int_Tables_number 1
_cell_length_a 3.386
_cell_length_b 3.386
_cell_length_c 12.861
_cell_angle_alpha 90.00
_cell_angle_beta 90.00
_cell_angle_gamma 90.00
loop_
_symmetry_equiv_pos_as_xyz
'x,y,z'
loop_
_atom_site_label
_atom_site_type_symbol
_atom_site_fract_x
_atom_site_fract_y
_atom_site_fract_z
_atom_site_occupancy
Ca1 Ca 0.000 0.000 0.000 1
Ca2 Ca 0.500 0.500 0.500 1
Ho1 Ho 0.000 0.000 0.254 1
Ho2 Ho 0.500 0.500 0.754 1
Co1 Co 0.000 0.000 0.644 1
Co2 Co 0.500 0.500 0.144 1
```

- energy relative to the lowest polymorph listed for this composition (meV per atom) = 0
- D(E_F) (states/eV per cell) = 3.272
- DFT total energy (eV/atom) = -4.544

Entry 10:
Here is a geometry-optimized CaHoCo structure from the Alexandria database. Energies are from PBE.

```
data_CaHoCo
_symmetry_space_group_name_H-M 'P 1'
_symmetry_Int_Tables_number 1
_cell_length_a 3.315
_cell_length_b 6.834
_cell_length_c 7.604
_cell_angle_alpha 63.42
_cell_angle_beta 84.83
_cell_angle_gamma 78.99
loop_
_symmetry_equiv_pos_as_xyz
'x,y,z'
loop_
_atom_site_label
_atom_site_type_symbol
_atom_site_fract_x
_atom_site_fract_y
_atom_site_fract_z
_atom_site_occupancy
Ca1 Ca 0.154 0.257 0.499 1
Ca2 Ca 0.846 0.743 0.501 1
Ho1 Ho 0.000 0.000 0.000 1
Ho2 Ho 0.000 0.500 0.000 1
Co1 Co 0.500 0.361 0.777 1
Co2 Co 0.500 0.639 0.223 1
```

- energy relative to the lowest polymorph listed for this composition (meV per atom) = 109
- D(E_F) (states/eV per cell) = 4.761
- DFT total energy (eV/atom) = -4.435

Entry 11:
Here is a geometry-optimized CaHo2Co structure from the Alexandria database. Energies are from PBE.

```
data_CaHo2Co
_symmetry_space_group_name_H-M 'P 1'
_symmetry_Int_Tables_number 1
_cell_length_a 3.779
_cell_length_b 3.779
_cell_length_c 31.014
_cell_angle_alpha 90.00
_cell_angle_beta 90.00
_cell_angle_gamma 120.00
loop_
_symmetry_equiv_pos_as_xyz
'x,y,z'
loop_
_atom_site_label
_atom_site_type_symbol
_atom_site_fract_x
_atom_site_fract_y
_atom_site_fract_z
_atom_site_occupancy
Ca1 Ca 0.000 0.000 0.000 1
Ca2 Ca 0.333 0.667 0.667 1
Ca3 Ca 0.667 0.333 0.333 1
Ho1 Ho 0.000 0.000 0.120 1
Ho2 Ho 0.000 0.000 0.880 1
Ho3 Ho 0.333 0.667 0.547 1
Ho4 Ho 0.333 0.667 0.786 1
Ho5 Ho 0.667 0.333 0.214 1
Ho6 Ho 0.667 0.333 0.453 1
Co1 Co 0.000 0.000 0.500 1
Co2 Co 0.333 0.667 0.167 1
Co3 Co 0.667 0.333 0.833 1
```

- energy relative to the lowest polymorph listed for this composition (meV per atom) = 182
- D(E_F) (states/eV per cell) = 12.741
- DFT total energy (eV/atom) = -4.502

Entry 12:
Here is a geometry-optimized CaLa2HoCo structure from the Alexandria database. Energies are from PBE.

```
data_CaLa2HoCo
_symmetry_space_group_name_H-M 'P 1'
_symmetry_Int_Tables_number 1
_cell_length_a 5.450
_cell_length_b 5.450
_cell_length_c 5.537
_cell_angle_alpha 90.00
_cell_angle_beta 90.00
_cell_angle_gamma 90.00
loop_
_symmetry_equiv_pos_as_xyz
'x,y,z'
loop_
_atom_site_label
_atom_site_type_symbol
_atom_site_fract_x
_atom_site_fract_y
_atom_site_fract_z
_atom_site_occupancy
Ca1 Ca 0.000 0.000 0.000 1
La1 La 0.000 0.500 0.500 1
La2 La 0.500 0.000 0.500 1
Ho1 Ho 0.500 0.500 0.000 1
Co1 Co 0.500 0.500 0.500 1
```

- D(E_F) (states/eV per cell) = 6.042
- DFT total energy (eV/atom) = -4.761

Entry 13:
Here is a geometry-optimized LiCaHoCo structure from the Alexandria database. Energies are from PBE.

```
data_LiCaHoCo
_symmetry_space_group_name_H-M 'P 1'
_symmetry_Int_Tables_number 1
_cell_length_a 6.948
_cell_length_b 6.948
_cell_length_c 6.948
_cell_angle_alpha 90.00
_cell_angle_beta 90.00
_cell_angle_gamma 90.00
loop_
_symmetry_equiv_pos_as_xyz
'x,y,z'
loop_
_atom_site_label
_atom_site_type_symbol
_atom_site_fract_x
_atom_site_fract_y
_atom_site_fract_z
_atom_site_occupancy
Li1 Li 0.000 0.000 0.000 1
Li2 Li 0.000 0.500 0.500 1
Li3 Li 0.500 0.000 0.500 1
Li4 Li 0.500 0.500 0.000 1
Ca1 Ca 0.250 0.250 0.750 1
Ca2 Ca 0.250 0.750 0.250 1
Ca3 Ca 0.750 0.250 0.250 1
Ca4 Ca 0.750 0.750 0.750 1
Ho1 Ho 0.250 0.250 0.250 1
Ho2 Ho 0.250 0.750 0.750 1
Ho3 Ho 0.750 0.250 0.750 1
Ho4 Ho 0.750 0.750 0.250 1
Co1 Co 0.000 0.000 0.500 1
Co2 Co 0.000 0.500 0.000 1
Co3 Co 0.500 0.000 0.000 1
Co4 Co 0.500 0.500 0.500 1
```

- D(E_F) (states/eV per cell) = 10.949
- DFT total energy (eV/atom) = -3.790